[1]
A relaxed structure of Ba2Pd2O5. Source: the Alexandria database, functional PBE.

Its density of states at the Fermi level is 3.8 states/eV per cell. The energy relative to the elements, uncorrected is -1.3765 eV/atom. The calculation puts the total moment at 0.00 μB/cell.

abc: 4.086 4.086 8.498
angles: 90.00 90.00 90.00
Atoms (fractional coordinates):
1 O 0.000 0.000 0.500
2 O 0.500 0.000 0.217
3 O 0.000 0.500 0.217
4 O 0.000 0.500 0.783
5 O 0.500 0.000 0.783
6 Pd 0.000 0.000 0.747
7 Pd 0.000 0.000 0.253
8 Ba 0.500 0.500 0.000
9 Ba 0.500 0.500 0.500

=====

[2]
A relaxed structure of CuAgAu14. Source: the Alexandria database, functional PBE.

Its density of states at the Fermi level is 6.0 states/eV per cell. Its energy of formation is 9 meV per atom. The calculation puts the total moment at 0.00 μB/cell.

abc: 5.823 5.823 9.521
angles: 90.00 90.00 117.63
Atoms (fractional coordinates):
1 Cu 0.547 0.453 0.500
2 Au 0.204 0.301 0.000
3 Au 0.379 0.130 0.743
4 Au 0.877 0.123 0.750
5 Au 0.376 0.624 0.742
6 Au 0.201 0.799 0.000
7 Au 0.702 0.298 0.000
8 Au 0.551 0.956 0.500
9 Au 0.699 0.796 0.000
10 Au 0.379 0.130 0.257
11 Au 0.877 0.123 0.250
12 Au 0.044 0.449 0.500
13 Au 0.376 0.624 0.258
14 Au 0.870 0.621 0.743
15 Au 0.870 0.621 0.257
16 Ag 0.048 0.952 0.500

=====

[3]
A relaxed structure of MnTl2Au. Source: the Alexandria database, functional PBE.

The energy above the lowest structure with this stoichiometry is 203.7 meV per atom. Its density of states at the Fermi level is 2.2 states/eV per cell. Its energy of formation is 346 meV per atom. The calculation puts the total moment at 4.37 μB/cell.

abc: 5.629 5.629 5.629
angles: 141.01 124.49 69.91
Atoms (fractional coordinates):
1 Tl 0.000 0.000 0.000
2 Tl 0.500 0.500 0.000
3 Au 0.250 0.750 0.500
4 Mn 0.750 0.250 0.500

=====

Number 1: final energy -5.712 eV/atom, calculated density 6.64 Mg/m³. Number 2: final energy -3.293 eV/atom, calculated density 17.00 Mg/m³. Number 3: final energy -3.949 eV/atom, calculated density 12.07 Mg/m³.